<i>
A plane-wave DFT calculation with PBE was carried out for a geometry-optimized KOs3 structure.

The structure belongs to space group I4/mmm (No. 139); the cell edges are 4.7772, 4.7772 and 11.6016 Å and the angles 90.00°, 90.00° and 90.00°. The inequivalent atoms are K at (0.0000, 0.0000, 0.1257), Os at (0.0000, 0.0000, 0.3875), Os at (0.0000, 0.5000, 0.0000) and Os at (0.0000, 0.5000, 0.2500).

<ii>
A plane-wave DFT calculation with PBE was carried out for a geometry-optimized KOs3 structure.

The structure belongs to space group Immm (No. 71); the cell edges are 2.6808, 5.0791 and 10.4515 Å and the angles 90.00°, 90.00° and 90.00°. The inequivalent atoms are K at (0.0000, 0.0000, 0.0000), Os at (0.0000, 0.0000, 0.5000) and Os at (0.0000, 0.5000, 0.2132).

Most stable: <ii>